Nd2MnBPt6: optimized geometry, PBE.

a b c (Å): 5.7254 5.7254 19.6248
angles (deg): 90.00 90.00 120.00
With the nearest neighbours (Å) after each atom.
Space group R-3m (No. 166, hexagonal axes)
Unique sites:
Nd: 0.0000 0.0000 0.2121 x6  9 Pt 3.08-3.38, 3 Mn 3.42
Mn: 0.0000 0.0000 0.5000 x3  6 Pt 2.58
B: 0.0000 0.0000 0.0000 x3  6 Pt 2.12
Pt: 0.0117 0.5059 0.2700 x18  1 B 2.12

Summary:
Volume ... 557.1 Å³/cell
N(E_F) ... 0.417 states/eV/atom
E_form ... -7.7 eV/f.u.
DFT total energy ... -6.94 eV/atom